{"formula": "Gd2InRu", "functional": "GGA-PBE", "state": "optimized geometry", "lattice_angstrom": [[-0.499, -2.771, -2.324], [-0.736, -3.341, 1.274], [-9.181, -0.216, -0.639]], "species": ["Gd", "Gd", "Ru", "In"], "frac_coords": [[0.736, 0.736, 0.793], [0.264, 0.264, 0.207], [0.000, 0.000, 0.000], [0.500, 0.500, 0.500]], "space_group": "R-3m, No. 166", "formation_enthalpy_0k_ev_per_atom": -0.21, "rho_g_cm3": 8.52}